The following is a DFT calculation (PBE-GGA) of crystalline Nd7AlGa5 at its relaxed geometry.

abc: 6.4082 10.0128 10.8097
angles: 90.00 90.00 90.00
Space group Imm2 (No. 44)
Unique sites:
1 Nd 0.0000 0.0000 0.0000 (multiplicity 2)
2 Nd 0.0000 0.0000 0.3730 (multiplicity 2)
3 Nd 0.0000 0.3169 0.6082 (multiplicity 4)
4 Nd 0.0000 0.3237 0.0903 (multiplicity 4)
5 Nd 0.0000 0.5000 0.3326 (multiplicity 2)
6 Al 0.0000 0.0000 0.6818 (multiplicity 2)
7 Ga 0.0000 0.5000 0.8473 (multiplicity 2)
8 Ga 0.2219 0.2420 0.8527 (multiplicity 8)

Output
Energy of formation from the pure elements   -0.34 eV per atom
Calculated total energy   -4.36 eV per atom
M_tot   0.00 μB per formula unit

---

The following is a DFT calculation (PBE-GGA) of crystalline Dy2BeInPt6 at its relaxed geometry.

abc: 9.6552 5.5750 8.5578
angles: 90.00 112.04 90.00
Space group C2/m (No. 12)
Unique sites:
1 Dy 0.2003 0.0000 0.1013 (multiplicity 4)
2 Be 0.0000 0.5000 0.0000 (multiplicity 2)
3 In 0.0000 0.0000 0.5000 (multiplicity 2)
4 Pt 0.0110 0.2512 0.7837 (multiplicity 8)
5 Pt 0.2378 0.5000 0.2163 (multiplicity 4)

Output
Energy of formation from the pure elements   -0.85 eV per atom
Calculated total energy   -6.04 eV per atom
M_tot   0.00 μB per formula unit